The following is a DFT calculation (GGA-PBE) of a relaxed structure of BiPt3C.

a = 4.3481 Å, b = 4.3481 Å, c = 4.3481 Å
α = 90.00°, β = 90.00°, γ = 90.00°
With the nearest neighbours (Å) after each atom.
Space group Pm-3m (No. 221)
One atom of each set of equivalent atoms:
Bi1 0.0000 0.0000 0.0000 [1 per cell]  12 Pt 3.07
Pt1 0.0000 0.5000 0.5000 [3 per cell]  2 C 2.17
C1 0.5000 0.5000 0.5000 [1 per cell]  6 Pt 2.17

Values from the calculation:
**DOS at the Fermi energy**: 0.46 states/eV/atom
**Calculated volume**: 16.441 Å³ per atom
**ΔE to the lowest computed polymorph**: 0 meV/atom
**Formation energy**: 0.34 eV per atom